# 1
Material: CaUGa4
Method: DFT, PBE
State: relaxed Values from VASP.

Quantum ESPRESSO input file:
```
&SYSTEM
  ibrav = 0, nat = 6, ntyp = 3
/
ATOMIC_SPECIES
Ca 40.08 Ca.upf
U 238.03 U.upf
Ga 69.72 Ga.upf
CELL_PARAMETERS angstrom
5.5538 0.0000 0.0000
2.7769 4.8097 0.0000
2.7769 1.6032 4.5347
ATOMIC_POSITIONS angstrom
Ca 2.7769 1.6032 1.1337
U 0.0000 0.0000 0.0000
Ga 5.5538 3.2065 0.5578
Ga 5.5538 1.5947 2.8372
Ga 6.9497 4.0124 2.8372
Ga 4.1579 4.0124 2.8372
```

Calculated values
Spin magnetization   0.50 μB per atom
ΔE_f   -0.174 eV/atom
E_tot   -4.4066 eV/atom

---

# 2
Material: ZnFe2Pb
Method: DFT, PBE
State: relaxed Values from VASP.

Quantum ESPRESSO input file:
```
&SYSTEM
  ibrav = 0, nat = 4, ntyp = 3
/
ATOMIC_SPECIES
Fe 55.84 Fe.upf
Pb 207.20 Pb.upf
Zn 65.41 Zn.upf
CELL_PARAMETERS angstrom
5.2863 0.0136 -0.0024
2.4609 4.6786 0.0024
-3.4971 -2.9677 2.6283
ATOMIC_POSITIONS angstrom
Fe 7.5181 4.5534 0.0000
Fe 3.0375 -0.1792 1.3130
Pb 3.9876 2.4151 0.0000
Zn 1.3276 1.9733 1.3154
```

Calculated values
Spin magnetization   1.22 μB per atom
ΔE_f   0.394 eV/atom
E_tot   -5.0834 eV/atom

---

# 3
Material: Li2MgGaRe
Method: DFT, PBE
State: relaxed Values from VASP.

Quantum ESPRESSO input file:
```
&SYSTEM
  ibrav = 0, nat = 5, ntyp = 4
/
ATOMIC_SPECIES
Re 186.21 Re.upf
Mg 24.30 Mg.upf
Ga 69.72 Ga.upf
Li 6.94 Li.upf
CELL_PARAMETERS angstrom
-0.9301 0.8940 -4.0847
-4.0745 -1.1338 0.6797
-1.0689 4.5893 1.2479
ATOMIC_POSITIONS angstrom
Re -0.5345 2.2946 0.6239
Mg 0.0000 0.0000 0.0000
Ga -3.0368 2.1747 -1.0786
Li -2.0372 -0.5669 0.3398
Li -0.4651 0.4470 -2.0423
```

Calculated values
Spin magnetization   0.12 μB per atom
ΔE_f   1.066 eV/atom
E_tot   -3.1136 eV/atom

---

# 4
Material: LaBe17Rh
Method: DFT, PBE
State: relaxed Values from VASP.

Quantum ESPRESSO input file:
```
&SYSTEM
  ibrav = 0, nat = 19, ntyp = 3
/
ATOMIC_SPECIES
La 138.91 La.upf
Be 9.01 Be.upf
Rh 102.91 Rh.upf
CELL_PARAMETERS angstrom
-3.1283 -4.0517 -2.6205
3.2791 -4.4535 1.5760
-3.1092 -1.4805 4.6055
ATOMIC_POSITIONS angstrom
La -1.9161 -6.4676 2.3064
Be -3.0610 -2.2652 2.5451
Be -1.3268 -4.1695 -1.3541
Be 1.4033 -3.6391 2.4013
Be 1.3981 -4.3403 0.4305
Be -1.3135 -2.3748 3.6897
Be -3.0691 -3.3587 -0.5279
Be 0.8173 -5.7879 2.0573
Be -2.7003 -4.1509 3.7254
Be -2.7108 -5.5667 -0.2534
Be -3.5840 -4.3055 1.5414
Be -0.3771 -5.7979 0.0206
Be -0.3675 -4.5072 3.6481
Be -4.5283 -7.7714 2.7772
Be -1.4360 -9.2104 1.3108
Be -1.4268 -7.9659 4.8085
Be -2.6805 -9.0478 3.2265
Be -0.2879 -0.9717 0.3465
Rh -0.9378 -3.1654 1.1288
```

Calculated values
Spin magnetization   0.00 μB per atom
ΔE_f   -0.020 eV/atom
E_tot   -4.0000 eV/atom

---

# 5
Material: TcSb3F
Method: DFT, PBE
State: relaxed Values from VASP.

Quantum ESPRESSO input file:
```
&SYSTEM
  ibrav = 0, nat = 5, ntyp = 3
/
ATOMIC_SPECIES
Sb 121.76 Sb.upf
Tc 98.00 Tc.upf
F 19.00 F.upf
CELL_PARAMETERS angstrom
4.8049 0.0000 0.0000
0.0000 4.8049 0.0000
0.0000 0.0000 4.8049
ATOMIC_POSITIONS angstrom
Sb 0.0000 2.4025 0.0000
Sb 0.0000 0.0000 2.4025
Sb 2.4025 0.0000 0.0000
Tc 2.4025 2.4025 2.4025
F 0.0000 0.0000 0.0000
```

Calculated values
Spin magnetization   0.42 μB per atom
Excess energy over the best structure of this formula in the dataset   311 meV per atom
Energy relative to the elements, uncorrected   0.414 eV per atom
E_tot   -4.5069 eV/atom

---

# 6
Material: Bi2BPb
Method: DFT, PBE
State: relaxed Values from VASP.

Quantum ESPRESSO input file:
```
&SYSTEM
  ibrav = 0, nat = 8, ntyp = 3
/
ATOMIC_SPECIES
Pb 207.20 Pb.upf
B 10.81 B.upf
Bi 208.98 Bi.upf
CELL_PARAMETERS angstrom
-0.2937 3.4105 5.7534
4.9527 -3.7593 2.4813
6.0520 3.4407 2.1644
ATOMIC_POSITIONS angstrom
Pb 0.0000 0.0000 0.0000
Pb 4.0439 3.3384 6.0176
B 2.3295 -0.1744 4.1174
B 6.6671 -0.2465 4.3815
Bi 1.9747 2.2175 3.9336
Bi 4.5455 -0.7587 3.3246
Bi 6.7281 2.1142 4.9328
Bi 8.1736 2.6108 8.6072
```

Calculated values
Spin magnetization   0.00 μB per atom
Excess energy over the best structure of this formula in the dataset   0 meV per atom
ΔE_f   0.611 eV/atom
E_tot   -3.9259 eV/atom

---

# 7
Material: Li4Ho3NpS8
Method: DFT, PBE
State: relaxed Values from VASP.

Quantum ESPRESSO input file:
```
&SYSTEM
  ibrav = 0, nat = 16, ntyp = 4
/
ATOMIC_SPECIES
Li 6.94 Li.upf
Ho 164.93 Ho.upf
Np 237.00 Np.upf
S 32.06 S.upf
CELL_PARAMETERS angstrom
-5.1736 -5.7735 1.0295
1.0613 -2.2418 -7.2388
6.0595 0.7380 4.8865
ATOMIC_POSITIONS angstrom
Li -2.5868 -2.8867 0.5147
Li 0.4430 -2.5178 2.9580
Li 0.0000 0.0000 0.0000
Li 3.0297 0.3690 2.4433
Ho -2.0561 -4.0076 -3.1047
Ho 0.9736 -3.6386 -0.6614
Ho 3.5604 -0.7519 -1.1762
Np 0.5306 -1.1209 -3.6194
S 5.5471 -2.4007 -0.2932
S 2.5470 -2.7660 -2.7127
S 2.0021 -1.6356 0.8886
S 2.9857 -5.2592 0.2165
S -1.0385 -2.0181 -1.5393
S -0.0549 -5.6417 -2.2115
S -0.5997 -4.5113 1.3899
S -3.5999 -4.8766 -1.0296
```

Calculated values
Spin magnetization   0.25 μB per atom
Energy relative to the elements, uncorrected   -1.716 eV per atom
E_tot   -5.9252 eV/atom

---

# 8
Material: K2MgTe2O6
Method: DFT, PBE
State: relaxed Values from VASP.

Quantum ESPRESSO input file:
```
&SYSTEM
  ibrav = 0, nat = 11, ntyp = 4
/
ATOMIC_SPECIES
K 39.10 K.upf
Mg 24.30 Mg.upf
Te 127.60 Te.upf
O 16.00 O.upf
CELL_PARAMETERS angstrom
-6.0621 -0.7249 0.1709
3.2713 -2.4855 -3.6446
0.6154 -3.7096 6.0929
ATOMIC_POSITIONS angstrom
K -2.8576 -1.9527 -0.5069
K 0.6821 -4.9674 3.1262
Mg -2.7234 -2.2173 3.1319
Te -2.3802 -5.4150 1.7409
Te 0.2047 -1.5050 0.8784
O -2.6057 -3.5778 1.5350
O 1.9461 -3.4702 -1.7529
O -1.0075 -3.0774 4.2843
O -4.1216 -3.4498 4.3721
O -1.1680 -3.8426 -1.6651
O 0.4302 -3.3422 1.0843
```

Calculated values
Spin magnetization   0.00 μB per atom
Energy relative to the elements, uncorrected   -1.513 eV per atom
E_tot   -5.1329 eV/atom

---

# 9
Material: CrTc2Ag
Method: DFT, PBE
State: relaxed Values from VASP.

Quantum ESPRESSO input file:
```
&SYSTEM
  ibrav = 0, nat = 4, ntyp = 3
/
ATOMIC_SPECIES
Cr 52.00 Cr.upf
Tc 98.00 Tc.upf
Ag 107.87 Ag.upf
CELL_PARAMETERS angstrom
-3.7463 -1.4077 -1.7164
-3.7379 0.5826 2.1567
-2.9356 2.8634 -1.4650
ATOMIC_POSITIONS angstrom
Cr 0.0000 0.0000 0.0000
Tc -2.6050 0.5096 -0.2562
Tc -7.8149 1.5287 -0.7686
Ag -5.2099 1.0191 -0.5124
```

Calculated values
Spin magnetization   0.00 μB per atom
Excess energy over the best structure of this formula in the dataset   317 meV per atom
ΔE_f   0.621 eV/atom
E_tot   -7.6805 eV/atom

---

# 10
Material: NaLi5Cd
Method: DFT, PBE
State: relaxed Values from VASP.

Quantum ESPRESSO input file:
```
&SYSTEM
  ibrav = 0, nat = 7, ntyp = 3
/
ATOMIC_SPECIES
Na 22.99 Na.upf
Li 6.94 Li.upf
Cd 112.41 Cd.upf
CELL_PARAMETERS angstrom
4.1306 0.6906 -0.0001
-0.6911 4.1305 -0.0001
0.0001 0.0001 9.2830
ATOMIC_POSITIONS angstrom
Na 0.0000 0.0000 0.0000
Li 1.3742 4.4757 2.5690
Li 3.7850 2.7558 2.5690
Li 0.0000 0.0000 4.6415
Li -0.3454 2.0653 6.7139
Li 2.0654 0.3454 6.7138
Cd 1.7198 2.4106 4.6414
```

Calculated values
Spin magnetization   0.00 μB per atom
ΔE_f   -0.034 eV/atom
E_tot   -1.7200 eV/atom

---

# 11
Material: BaSrOs2
Method: DFT, PBE
State: relaxed Values from VASP.

Quantum ESPRESSO input file:
```
&SYSTEM
  ibrav = 0, nat = 4, ntyp = 3
/
ATOMIC_SPECIES
Ba 137.33 Ba.upf
Os 190.23 Os.upf
Sr 87.62 Sr.upf
CELL_PARAMETERS angstrom
-0.6561 -1.4578 -3.1101
1.4761 -3.0728 0.7793
-8.3420 -3.1827 3.2516
ATOMIC_POSITIONS angstrom
Ba -6.4986 -4.9011 1.5275
Os -0.7365 -0.2810 0.2871
Os -1.0110 -2.8075 -0.6115
Sr -3.4469 -1.3151 1.3435
```

Calculated values
Spin magnetization   0.00 μB per atom
Excess energy over the best structure of this formula in the dataset   406 meV per atom
ΔE_f   0.598 eV/atom
E_tot   -5.9180 eV/atom

---

# 12
Material: SrCa2Tl2
Method: DFT, PBE
State: relaxed Values from VASP.

Quantum ESPRESSO input file:
```
&SYSTEM
  ibrav = 0, nat = 10, ntyp = 3
/
ATOMIC_SPECIES
Sr 87.62 Sr.upf
Ca 40.08 Ca.upf
Tl 204.38 Tl.upf
CELL_PARAMETERS angstrom
4.1609 0.0000 0.0000
0.0000 5.9719 0.0900
0.0000 -1.2600 14.2818
ATOMIC_POSITIONS angstrom
Sr 1.0402 3.8612 3.6014
Sr 3.1207 0.8507 10.7703
Ca 1.0402 3.7717 12.6611
Ca 3.1207 0.9402 1.7106
Ca 1.0402 0.8585 7.4341
Ca 3.1207 3.8534 6.9377
Tl 1.0402 3.8416 9.4361
Tl 3.1207 0.8703 4.9357
Tl 1.0402 0.7034 13.6342
Tl 3.1207 4.0084 0.7376
```

Calculated values
Spin magnetization   0.00 μB per atom
Excess energy over the best structure of this formula in the dataset   74 meV per atom
ΔE_f   -0.278 eV/atom
E_tot   -2.3612 eV/atom